Run a
The following is a GGA-PBE calculation of an optimized crystal structure of LaTa2Au, from Alexandria via LeMat-Bulk.

Results
Space-group type = P4mm
Volume = 21.1 Å³/atom
D(E_F) = 4.789 states/eV per cell

Cell: 2.9741 2.9741 9.5381 Å, 90.00 90.00 90.00°
With the nearest neighbours (Å) after each atom.
Positions (direct):
Au  0.0000  0.0000  0.4690  4 Ta 2.90, 4 Au 2.97
La  0.5000  0.5000  0.7391  4 La 2.97, 4 Au 3.33
Ta  0.0000  0.0000  0.0325  8 Ta 2.97-3.02
Ta  0.5000  0.5000  0.2594  4 Au 2.90, 8 Ta 2.97-3.02


Run b
The following is a GGA-PBE calculation of an optimized crystal structure of LaTa2Au, from Alexandria via LeMat-Bulk.

Results
Space-group type = Pmmm
Volume = 22.4 Å³/atom
D(E_F) = 4.395 states/eV per cell

Cell: 3.2566 3.8007 7.2311 Å, 90.00 90.00 90.00°
With the nearest neighbours (Å) after each atom.
Positions (direct):
La  0.5000  0.5000  0.7500  2 La 3.26, 8 Ta 3.39, 2 Au 3.62
Ta  0.0000  0.0000  0.4342  1 Ta 2.66, 4 Au 2.83
Ta  0.0000  0.0000  0.0658  1 Ta 2.66, 4 Au 2.83
Au  0.5000  0.5000  0.2500  8 Ta 2.83


Run c
The following is a GGA-PBE calculation of an optimized crystal structure of LaTa2Au, from Alexandria via LeMat-Bulk.

Results
Space-group type = I-42d
Volume = 22.8 Å³/atom
D(E_F) = 8.333 states/eV per cell

Cell: 4.1477 4.1477 11.0038 Å, 79.14 79.14 90.00°
With the nearest neighbours (Å) after each atom.
Positions (direct):
La  0.5000  0.5000  0.0000  4 Au 2.93, 4 Ta 3.05
La  0.2500  0.7500  0.5000  4 Au 2.93, 4 Ta 3.05
Ta  0.8750  0.8910  0.7500  4 Ta 2.84-3.03, 2 Au 3.01, 2 La 3.05
Ta  0.1090  0.6250  0.2500  4 Ta 2.84-3.03, 2 Au 3.01, 2 La 3.05
Ta  0.3750  0.3590  0.7500  4 Ta 2.84-3.03, 2 Au 3.01, 2 La 3.05
Ta  0.6410  0.1250  0.2500  4 Ta 2.84-3.03, 2 Au 3.01, 2 La 3.05
Au  0.0000  0.0000  0.0000  4 La 2.93, 4 Ta 3.01
Au  0.7500  0.2500  0.5000  4 La 2.93, 4 Ta 3.01


Computed energies relative to the best structure, in meV per atom: run a 0; run b 265; run c 385


Run a
The following is a GGA-PBE calculation of an optimized crystal structure of LaTa2Au, from Alexandria via LeMat-Bulk.

Results
Space-group type = Cmmm
Volume = 21.1 Å³/atom
D(E_F) = 3.910 states/eV per cell

Cell: 5.7318 5.7318 2.8898 Å, 90.00 90.00 117.03°
With the nearest neighbours (Å) after each atom.
Positions (direct):
Ta  0.5000  0.5000  0.0000  4 Ta 2.89-2.99, 4 Au 3.21, 4 La 3.21
Ta  0.0000  0.0000  0.0000  4 Ta 2.89-2.99, 4 La 3.21, 4 Au 3.21
Au  0.5000  0.0000  0.5000  2 Au 2.89, 2 La 2.99, 8 Ta 3.21
La  0.0000  0.5000  0.5000  2 La 2.89, 2 Au 2.99, 8 Ta 3.21


Run b
The following is a GGA-PBE calculation of an optimized crystal structure of LaTa2Au, from Alexandria via LeMat-Bulk.

Results
Space-group type = Immm
Volume = 21.9 Å³/atom
D(E_F) = 5.364 states/eV per cell

Cell: 6.2300 6.2300 6.2300 Å, 151.28 130.63 58.12°
With the nearest neighbours (Å) after each atom.
Positions (direct):
Au  0.7500  0.2500  0.5000  4 Ta 2.93, 4 La 3.03, 2 Au 3.09
Ta  0.9781  0.9781  0.0000  2 Au 2.93, 6 Ta 3.06-3.09
Ta  0.5219  0.5219  0.0000  2 Au 2.93, 6 Ta 3.06-3.09
La  0.2500  0.7500  0.5000  4 Au 3.03, 2 La 3.09, 4 Ta 3.34


Computed energies relative to the best structure, in meV per atom: run a 270; run b 0


Run a
The following is a GGA-PBE calculation of an optimized crystal structure of LaTa2Au, from Alexandria via LeMat-Bulk.

Results
Space-group type = Fm-3m
Volume = 19.8 Å³/atom
D(E_F) = 2.335 states/eV per cell

Cell: 4.8225 4.8225 4.8225 Å, 60.00 60.00 60.00°
With the nearest neighbours (Å) after each atom.
Positions (direct):
La  0.0000  0.0000  0.0000  8 Ta 2.95
Ta  0.7500  0.7500  0.7500  4 Au 2.95, 4 La 2.95
Ta  0.2500  0.2500  0.2500  4 Au 2.95, 4 La 2.95
Au  0.5000  0.5000  0.5000  8 Ta 2.95


Run b
The following is a GGA-PBE calculation of an optimized crystal structure of LaTa2Au, from Alexandria via LeMat-Bulk.

Results
Space-group type = Cm
Volume = 22.5 Å³/atom
D(E_F) = 3.341 states/eV per cell

Cell: 5.2597 5.2597 5.9714 Å, 81.92 81.92 33.40°
With the nearest neighbours (Å) after each atom.
Positions (direct):
Ta  0.7590  0.7590  0.7941  5 Ta 2.83-3.02, 2 Au 3.00
Ta  0.0215  0.0215  0.9113  5 Ta 2.83-3.02, 2 Au 2.88
La  0.2379  0.2379  0.2782  3 Au 3.01-3.15, 2 La 3.02, 3 Ta 3.24-3.31
Au  0.4816  0.4816  0.5164  4 Ta 2.88-3.00, 3 La 3.01-3.15, 2 Au 3.02


Computed energies relative to the best structure, in meV per atom: run a 212; run b 0